(1)
The following is a DFT calculation (GGA-PBEsol) of NdZrNO2 after structural relaxation.

Cell and atoms, written as CIF:
```
data_NdZrNO2
_chemical_formula_sum 'Nd4 Zr4 N4 O8'
_cell_length_a 5.703
_cell_length_b 5.870
_cell_length_c 9.838
_cell_angle_alpha 90.00
_cell_angle_beta 124.81
_cell_angle_gamma 90.00
_symmetry_space_group_name_H-M 'P 1'
_symmetry_Int_Tables_number 1
_symmetry_space_group_name_Hall 'P 1'
loop_
_atom_site_label
_atom_site_fract_x
_atom_site_fract_y
_atom_site_fract_z
Nd1 0.223 0.050 0.244
Nd2 0.223 0.450 0.744
Nd3 0.777 0.550 0.256
Nd4 0.777 0.950 0.756
Zr1 0.000 0.000 0.500
Zr2 0.000 0.500 0.000
Zr3 0.500 0.000 0.000
Zr4 0.500 0.500 0.500
N1 0.147 0.207 0.940
N2 0.147 0.293 0.440
N3 0.853 0.707 0.560
N4 0.853 0.793 0.060
O1 0.227 0.709 0.936
O2 0.227 0.791 0.436
O3 0.364 0.039 0.750
O4 0.364 0.461 0.250
O5 0.636 0.539 0.750
O6 0.636 0.961 0.250
O7 0.773 0.209 0.564
O8 0.773 0.291 0.064
```

Total DFT energy (no corrections) ... -47.25 eV per formula unit
Symmetry ... P2_1/c (14)
Formation energy without anion corrections ... -2.794 eV per atom
M_tot ... 0.00 Bohr magnetons per cell

(2)
The following is a DFT calculation (GGA-PBEsol) of CaCrCo2 after structural relaxation.

Cell and atoms, written as CIF:
```
data_CaCrCo2
_chemical_formula_sum 'Ca1 Cr1 Co2'
_cell_length_a 5.384
_cell_length_b 5.384
_cell_length_c 5.384
_cell_angle_alpha 152.17
_cell_angle_beta 131.52
_cell_angle_gamma 56.82
_symmetry_space_group_name_H-M 'P 1'
_symmetry_Int_Tables_number 1
_symmetry_space_group_name_Hall 'P 1'
loop_
_atom_site_label
_atom_site_fract_x
_atom_site_fract_y
_atom_site_fract_z
Ca1 0.000 0.000 0.000
Cr1 0.708 0.208 0.500
Co1 0.280 0.780 0.500
Co2 0.495 0.495 0.000
```

DFT formation energy ... 14.52 kcal/mol of atoms
Total DFT energy (no corrections) ... -25.33 eV per formula unit
Symmetry ... Imm2 (44)
M_tot ... 0.09 Bohr magnetons per cell

(3)
The following is a DFT calculation (GGA-PBEsol) of KMg5 after structural relaxation.

Cell and atoms, written as CIF:
```
data_KMg5
_chemical_formula_sum 'K1 Mg5'
_cell_length_a 6.280
_cell_length_b 6.280
_cell_length_c 5.058
_cell_angle_alpha 90.00
_cell_angle_beta 90.00
_cell_angle_gamma 120.00
_symmetry_space_group_name_H-M 'P 1'
_symmetry_Int_Tables_number 1
_symmetry_space_group_name_Hall 'P 1'
loop_
_atom_site_label
_atom_site_fract_x
_atom_site_fract_y
_atom_site_fract_z
K1 0.000 0.000 0.000
Mg1 0.000 0.500 0.500
Mg2 0.333 0.667 0.000
Mg3 0.500 0.000 0.500
Mg4 0.500 0.500 0.500
Mg5 0.667 0.333 0.000
```

DFT formation energy ... 2.50 kcal/mol of atoms
Total DFT energy (no corrections) ... -9.07 eV per formula unit
Symmetry ... P6/mmm (191)
M_tot ... 0.00 Bohr magnetons per cell

(4)
The following is a DFT calculation (GGA-PBEsol) of Ho5Pb3 after structural relaxation.

Cell and atoms, written as CIF:
```
data_Ho5Pb3
_chemical_formula_sum 'Ho10 Pb6'
_cell_length_a 8.879
_cell_length_b 8.879
_cell_length_c 6.475
_cell_angle_alpha 90.00
_cell_angle_beta 90.00
_cell_angle_gamma 120.00
_symmetry_space_group_name_H-M 'P 1'
_symmetry_Int_Tables_number 1
_symmetry_space_group_name_Hall 'P 1'
loop_
_atom_site_label
_atom_site_fract_x
_atom_site_fract_y
_atom_site_fract_z
Ho1 0.000 0.237 0.250
Ho2 0.000 0.763 0.750
Ho3 0.237 0.000 0.250
Ho4 0.237 0.237 0.750
Ho5 0.333 0.667 0.000
Ho6 0.333 0.667 0.500
Ho7 0.667 0.333 0.000
Ho8 0.667 0.333 0.500
Ho9 0.763 0.000 0.750
Ho10 0.763 0.763 0.250
Pb1 0.000 0.395 0.750
Pb2 0.000 0.605 0.250
Pb3 0.395 0.000 0.750
Pb4 0.395 0.395 0.250
Pb5 0.605 0.000 0.250
Pb6 0.605 0.605 0.750
```

DFT formation energy ... -13.33 kcal/mol of atoms
Total DFT energy (no corrections) ... -41.37 eV per formula unit
Symmetry ... P6_3/mcm (193)
M_tot ... 0.00 Bohr magnetons per cell

(5)
The following is a DFT calculation (GGA-PBEsol) of LiReNi2 after structural relaxation.

Cell and atoms, written as CIF:
```
data_LiReNi2
_chemical_formula_sum 'Li1 Re1 Ni2'
_cell_length_a 2.496
_cell_length_b 3.858
_cell_length_c 4.919
_cell_angle_alpha 90.00
_cell_angle_beta 90.00
_cell_angle_gamma 90.00
_symmetry_space_group_name_H-M 'P 1'
_symmetry_Int_Tables_number 1
_symmetry_space_group_name_Hall 'P 1'
loop_
_atom_site_label
_atom_site_fract_x
_atom_site_fract_y
_atom_site_fract_z
Li1 0.000 0.000 0.000
Re1 0.500 0.500 0.691
Ni1 0.000 0.000 0.489
Ni2 0.500 0.500 0.193
```

DFT formation energy ... 4.24 kcal/mol of atoms
Total DFT energy (no corrections) ... -26.88 eV per formula unit
Symmetry ... Pmm2 (25)
M_tot ... 0.00 Bohr magnetons per cell

(6)
The following is a DFT calculation (GGA-PBEsol) of YSiTe2 after structural relaxation.

Cell and atoms, written as CIF:
```
data_YSiTe2
_chemical_formula_sum 'Y1 Si1 Te2'
_cell_length_a 3.735
_cell_length_b 3.735
_cell_length_c 7.680
_cell_angle_alpha 90.00
_cell_angle_beta 90.00
_cell_angle_gamma 90.00
_symmetry_space_group_name_H-M 'P 1'
_symmetry_Int_Tables_number 1
_symmetry_space_group_name_Hall 'P 1'
loop_
_atom_site_label
_atom_site_fract_x
_atom_site_fract_y
_atom_site_fract_z
Y1 0.000 0.000 0.000
Si1 0.500 0.500 0.270
Te1 0.000 0.000 0.406
Te2 0.500 0.500 0.803
```

Total DFT energy (no corrections) ... -21.53 eV per formula unit
Symmetry ... P4mm (99)
Formation energy without anion corrections ... -0.477 eV per atom
M_tot ... 0.00 Bohr magnetons per cell

(7)
The following is a DFT calculation (GGA-PBEsol) of HgMoAu2 after structural relaxation.

Cell and atoms, written as CIF:
```
data_HgMoAu2
_chemical_formula_sum 'Hg1 Mo1 Au2'
_cell_length_a 5.145
_cell_length_b 2.731
_cell_length_c 5.235
_cell_angle_alpha 90.00
_cell_angle_beta 110.03
_cell_angle_gamma 90.00
_symmetry_space_group_name_H-M 'P 1'
_symmetry_Int_Tables_number 1
_symmetry_space_group_name_Hall 'P 1'
loop_
_atom_site_label
_atom_site_fract_x
_atom_site_fract_y
_atom_site_fract_z
Hg1 0.000 0.000 0.000
Mo1 0.500 0.500 0.000
Au1 0.000 0.500 0.500
Au2 0.500 0.000 0.500
```

DFT formation energy ... 8.47 kcal/mol of atoms
Total DFT energy (no corrections) ... -18.71 eV per formula unit
Symmetry ... P2/m (10)
M_tot ... 0.41 Bohr magnetons per cell

(8)
The following is a DFT calculation (GGA-PBEsol) of NaLiCa3 after structural relaxation.

Cell and atoms, written as CIF:
```
data_NaLiCa3
_chemical_formula_sum 'Na1 Li1 Ca3'
_cell_length_a 5.891
_cell_length_b 5.891
_cell_length_c 5.891
_cell_angle_alpha 90.00
_cell_angle_beta 90.00
_cell_angle_gamma 90.00
_symmetry_space_group_name_H-M 'P 1'
_symmetry_Int_Tables_number 1
_symmetry_space_group_name_Hall 'P 1'
loop_
_atom_site_label
_atom_site_fract_x
_atom_site_fract_y
_atom_site_fract_z
Na1 0.000 0.000 0.000
Li1 0.500 0.500 0.500
Ca1 0.000 0.500 0.500
Ca2 0.500 0.000 0.500
Ca3 0.500 0.500 0.000
```

DFT formation energy ... 5.29 kcal/mol of atoms
Total DFT energy (no corrections) ... -8.62 eV per formula unit
Symmetry ... Pm-3m (221)
M_tot ... 0.00 Bohr magnetons per cell

(9)
The following is a DFT calculation (GGA-PBEsol) of Tl2PCl6 after structural relaxation.

Cell and atoms, written as CIF:
```
data_Tl2PCl6
_chemical_formula_sum 'Tl2 P1 Cl6'
_cell_length_a 6.738
_cell_length_b 6.738
_cell_length_c 6.738
_cell_angle_alpha 60.00
_cell_angle_beta 60.00
_cell_angle_gamma 60.00
_symmetry_space_group_name_H-M 'P 1'
_symmetry_Int_Tables_number 1
_symmetry_space_group_name_Hall 'P 1'
loop_
_atom_site_label
_atom_site_fract_x
_atom_site_fract_y
_atom_site_fract_z
Tl1 0.250 0.250 0.250
Tl2 0.750 0.750 0.750
P1 0.000 0.000 0.000
Cl1 0.238 0.238 0.762
Cl2 0.238 0.762 0.238
Cl3 0.238 0.762 0.762
Cl4 0.762 0.238 0.238
Cl5 0.762 0.238 0.762
Cl6 0.762 0.762 0.238
```

Total DFT energy (no corrections) ... -29.73 eV per formula unit
Symmetry ... Fm-3m (225)
Formation energy without anion corrections ... -0.737 eV per atom
M_tot ... 0.00 Bohr magnetons per cell

(10)
The following is a DFT calculation (GGA-PBEsol) of ScTl2Pb after structural relaxation.

Cell and atoms, written as CIF:
```
data_ScTl2Pb
_chemical_formula_sum 'Sc1 Tl2 Pb1'
_cell_length_a 3.826
_cell_length_b 3.826
_cell_length_c 6.903
_cell_angle_alpha 90.00
_cell_angle_beta 90.00
_cell_angle_gamma 90.00
_symmetry_space_group_name_H-M 'P 1'
_symmetry_Int_Tables_number 1
_symmetry_space_group_name_Hall 'P 1'
loop_
_atom_site_label
_atom_site_fract_x
_atom_site_fract_y
_atom_site_fract_z
Sc1 0.000 0.000 0.000
Tl1 0.500 0.500 0.236
Tl2 0.500 0.500 0.764
Pb1 0.000 0.000 0.500
```

DFT formation energy ... -1.60 kcal/mol of atoms
Total DFT energy (no corrections) ... -16.14 eV per formula unit
Symmetry ... P4/mmm (123)
M_tot ... 0.00 Bohr magnetons per cell

(11)
The following is a DFT calculation (GGA-PBEsol) of TlIrRh2 after structural relaxation.

Cell and atoms, written as CIF:
```
data_TlIrRh2
_chemical_formula_sum 'Tl1 Ir1 Rh2'
_cell_length_a 4.767
_cell_length_b 4.767
_cell_length_c 4.767
_cell_angle_alpha 130.49
_cell_angle_beta 130.49
_cell_angle_gamma 72.63
_symmetry_space_group_name_H-M 'P 1'
_symmetry_Int_Tables_number 1
_symmetry_space_group_name_Hall 'P 1'
loop_
_atom_site_label
_atom_site_fract_x
_atom_site_fract_y
_atom_site_fract_z
Tl1 0.000 0.000 0.000
Ir1 0.500 0.500 0.000
Rh1 0.250 0.750 0.500
Rh2 0.750 0.250 0.500
```

DFT formation energy ... 5.21 kcal/mol of atoms
Total DFT energy (no corrections) ... -27.83 eV per formula unit
Symmetry ... I4/mmm (139)
M_tot ... 0.00 Bohr magnetons per cell

(12)
The following is a DFT calculation (GGA-PBEsol) of CaRuSe2 after structural relaxation.

Cell and atoms, written as CIF:
```
data_CaRuSe2
_chemical_formula_sum 'Ca1 Ru1 Se2'
_cell_length_a 6.156
_cell_length_b 6.156
_cell_length_c 6.156
_cell_angle_alpha 37.37
_cell_angle_beta 37.37
_cell_angle_gamma 37.37
_symmetry_space_group_name_H-M 'P 1'
_symmetry_Int_Tables_number 1
_symmetry_space_group_name_Hall 'P 1'
loop_
_atom_site_label
_atom_site_fract_x
_atom_site_fract_y
_atom_site_fract_z
Ca1 0.000 0.000 0.000
Ru1 0.500 0.500 0.500
Se1 0.231 0.231 0.231
Se2 0.769 0.769 0.769
```

Total DFT energy (no corrections) ... -23.63 eV per formula unit
Symmetry ... R-3m (166)
Formation energy without anion corrections ... -0.905 eV per atom
M_tot ... 0.00 Bohr magnetons per cell

The highest M_tot belongs to which entry?
HgMoAu2

Which of these has the lowest total DFT energy (no corrections)?
NdZrNO2